(1)
# Th2Si2Ge PBE-GGA relaxed
data_Th2Si2Ge
_cell_length_a 4.175
_cell_length_b 3.981
_cell_length_c 13.596
_cell_angle_alpha 90.00
_cell_angle_beta 90.00
_cell_angle_gamma 90.00
_space_group_name_H-M_alt 'A m m 2'
_space_group_IT_number 38
_space_group_name_Hall 'A 2 -2'
loop_
_atom_site_label
_atom_site_type_symbol
_atom_site_fract_x
_atom_site_fract_y
_atom_site_fract_z
_atom_site_occupancy
Th1 Th 0.000 0.000 0.000 1
Th2 Th 0.000 0.000 0.249 1
Si1 Si 0.500 0.000 0.631 1
Si2 Si 0.500 0.000 0.817 1
Ge1 Ge 0.500 0.000 0.430 1
# Total magnetic moment (μB/f.u.): 0.0
# Calculated density (g cm⁻³): 8.71
# DFT total energy (eV/atom): -6.598
# Raw formation energy (meV/atom): -538
# Excess energy over the best structure of this formula in the dataset (eV per atom): 0.0579

---

(2)
# La3HfTa PBE-GGA relaxed
data_La3HfTa
_cell_length_a 5.593
_cell_length_b 5.593
_cell_length_c 5.593
_cell_angle_alpha 90.00
_cell_angle_beta 90.00
_cell_angle_gamma 90.00
_space_group_name_H-M_alt 'P m -3 m'
_space_group_IT_number 221
_space_group_name_Hall '-P 4 2 3'
loop_
_atom_site_label
_atom_site_type_symbol
_atom_site_fract_x
_atom_site_fract_y
_atom_site_fract_z
_atom_site_occupancy
La1 La 0.000 0.000 0.500 1
Hf1 Hf 0.000 0.000 0.000 1
Ta1 Ta 0.500 0.500 0.500 1
# Total magnetic moment (μB/f.u.): 0.0
# Calculated density (g cm⁻³): 7.37
# DFT total energy (eV/atom): -5.908
# Energy of formation from the pure elements (eV/f.u.): 7.0
# Excess energy over the best structure of this formula in the dataset (eV per atom): 0.4667

---

(3)
# Pm5Pr2YIn PBE-GGA relaxed
data_Pm5Pr2YIn
_cell_length_a 5.551
_cell_length_b 20.115
_cell_length_c 10.944
_cell_angle_alpha 90.00
_cell_angle_beta 90.00
_cell_angle_gamma 90.00
_space_group_name_H-M_alt 'C m c m'
_space_group_IT_number 63
_space_group_name_Hall '-C 2c 2'
loop_
_atom_site_label
_atom_site_type_symbol
_atom_site_fract_x
_atom_site_fract_y
_atom_site_fract_z
_atom_site_occupancy
Pm1 Pm 0.000 0.000 0.000 1
Pm2 Pm 0.000 0.117 0.250 1
Pm3 Pm 0.000 0.209 0.550 1
Pm4 Pm 0.000 0.486 0.250 1
Pr1 Pr 0.000 0.383 0.546 1
Y1 Y 0.000 0.299 0.250 1
In1 In 0.000 0.094 0.750 1
# Total magnetic moment (μB/f.u.): 0.0
# Calculated density (g cm⁻³): 6.58
# DFT total energy (eV/atom): -4.745
# Energy of formation from the pure elements (eV/f.u.): -0.2

---

(4)
# PmNdSc PBE-GGA relaxed
data_PmNdSc
_cell_length_a 5.5754
_cell_length_b 5.5754
_cell_length_c 3.4492
_cell_angle_alpha 90.00
_cell_angle_beta 90.00
_cell_angle_gamma 120.00
_space_group_name_H-M_alt 'P -6 m 2'
_space_group_IT_number 187
_space_group_name_Hall 'P -6 2'
loop_
_atom_site_label
_atom_site_type_symbol
_atom_site_fract_x
_atom_site_fract_y
_atom_site_fract_z
_atom_site_occupancy
Pm1 Pm 0.0000 0.0000 0.0000 1
Nd1 Nd 0.6667 0.3333 0.5000 1
Sc1 Sc 0.3333 0.6667 0.0000 1
# Total magnetic moment (μB/f.u.): 0.0
# Calculated density (g cm⁻³): 5.98
# DFT total energy (eV/atom): -5.200
# Energy of formation from the pure elements (eV/f.u.): 0.2
# Excess energy over the best structure of this formula in the dataset (eV per atom): 0.0245

---

(5)
# HgPtSe2 PBE-GGA relaxed
data_HgPtSe2
_cell_length_a 3.748
_cell_length_b 4.679
_cell_length_c 11.437
_cell_angle_alpha 90.00
_cell_angle_beta 90.00
_cell_angle_gamma 90.00
_space_group_name_H-M_alt 'I m m m'
_space_group_IT_number 71
_space_group_name_Hall '-I 2 2'
loop_
_atom_site_label
_atom_site_type_symbol
_atom_site_fract_x
_atom_site_fract_y
_atom_site_fract_z
_atom_site_occupancy
Hg1 Hg 0.000 0.000 0.000 1
Pt1 Pt 0.000 0.000 0.500 1
Se1 Se 0.000 0.500 0.148 1
# Total magnetic moment (μB/f.u.): 0.0
# Calculated density (g cm⁻³): 9.17
# DFT total energy (eV/atom): -3.429
# Raw formation energy (meV/atom): -101
# Excess energy over the best structure of this formula in the dataset (eV per atom): 0.1917

---

(6)
# EuHfPd2 PBE-GGA relaxed
data_EuHfPd2
_cell_length_a 4.5695
_cell_length_b 4.5695
_cell_length_c 15.2408
_cell_angle_alpha 90.00
_cell_angle_beta 90.00
_cell_angle_gamma 120.00
_space_group_name_H-M_alt 'R -3 m'
_space_group_IT_number 166
_space_group_name_Hall '-R 3 2"'
loop_
_atom_site_label
_atom_site_type_symbol
_atom_site_fract_x
_atom_site_fract_y
_atom_site_fract_z
_atom_site_occupancy
Eu1 Eu 0.0000 0.0000 0.0000 1
Hf1 Hf 0.0000 0.0000 0.5000 1
Pd1 Pd 0.0000 0.0000 0.2118 1
# Total magnetic moment (μB/f.u.): 7.1
# Calculated density (g cm⁻³): 9.82
# DFT total energy (eV/atom): -8.203
# Energy of formation from the pure elements (eV/f.u.): -2.2
# Excess energy over the best structure of this formula in the dataset (eV per atom): 0.1278

---

(7)
# BaMgW2 PBE-GGA relaxed
data_BaMgW2
_cell_length_a 2.945
_cell_length_b 4.574
_cell_length_c 7.217
_cell_angle_alpha 90.00
_cell_angle_beta 90.00
_cell_angle_gamma 90.00
_space_group_name_H-M_alt 'P m m m'
_space_group_IT_number 47
_space_group_name_Hall '-P 2 2'
loop_
_atom_site_label
_atom_site_type_symbol
_atom_site_fract_x
_atom_site_fract_y
_atom_site_fract_z
_atom_site_occupancy
Ba1 Ba 0.000 0.000 0.000 1
Mg1 Mg 0.000 0.000 0.500 1
W1 W 0.500 0.500 0.336 1
# Total magnetic moment (μB/f.u.): 0.0
# Calculated density (g cm⁻³): 9.04
# DFT total energy (eV/atom): -6.274
# Energy of formation from the pure elements (eV/f.u.): 4.3

---

(8)
# TbCeIr2 PBE-GGA relaxed
data_TbCeIr2
_cell_length_a 3.465
_cell_length_b 3.465
_cell_length_c 6.989
_cell_angle_alpha 90.00
_cell_angle_beta 90.00
_cell_angle_gamma 90.00
_space_group_name_H-M_alt 'P 4/m m m'
_space_group_IT_number 123
_space_group_name_Hall '-P 4 2'
loop_
_atom_site_label
_atom_site_type_symbol
_atom_site_fract_x
_atom_site_fract_y
_atom_site_fract_z
_atom_site_occupancy
Tb1 Tb 0.000 0.000 0.000 1
Ce1 Ce 0.000 0.000 0.500 1
Ir1 Ir 0.500 0.500 0.257 1
# Total magnetic moment (μB/f.u.): 0.0
# Calculated density (g cm⁻³): 13.53
# DFT total energy (eV/atom): -7.797
# Energy of formation from the pure elements (eV/f.u.): -2.9

---

(9)
# NaSr5Hg6 PBE-GGA relaxed
data_NaSr5Hg6
_cell_length_a 5.647
_cell_length_b 7.853
_cell_length_c 8.930
_cell_angle_alpha 90.00
_cell_angle_beta 108.50
_cell_angle_gamma 90.00
_space_group_name_H-M_alt 'P 1 2/m 1'
_space_group_IT_number 10
_space_group_name_Hall '-P 2y'
loop_
_atom_site_label
_atom_site_type_symbol
_atom_site_fract_x
_atom_site_fract_y
_atom_site_fract_z
_atom_site_occupancy
Na1 Na 0.000 0.000 0.000 1
Sr1 Sr 0.000 0.500 0.000 1
Sr2 Sr 0.332 0.500 0.663 1
Sr3 Sr 0.338 0.000 0.674 1
Hg1 Hg 0.166 0.247 0.333 1
Hg2 Hg 0.500 0.253 0.000 1
# Total magnetic moment (μB/f.u.): 0.0
# Calculated density (g cm⁻³): 7.36
# DFT total energy (eV/atom): -1.435
# Energy of formation from the pure elements (eV/f.u.): -5.7

---

(10)
# Y6Te3PC2 PBE-GGA relaxed
data_Y6Te3PC2
_cell_length_a 6.841
_cell_length_b 11.842
_cell_length_c 7.376
_cell_angle_alpha 90.00
_cell_angle_beta 108.04
_cell_angle_gamma 90.00
_space_group_name_H-M_alt 'C 1 2/m 1'
_space_group_IT_number 12
_space_group_name_Hall '-C 2y'
loop_
_atom_site_label
_atom_site_type_symbol
_atom_site_fract_x
_atom_site_fract_y
_atom_site_fract_z
_atom_site_occupancy
Y1 Y 0.208 0.000 0.192 1
Y2 Y 0.244 0.322 0.196 1
Te1 Te 0.000 0.000 0.500 1
Te2 Te 0.000 0.340 0.500 1
P1 P 0.000 0.500 0.000 1
C1 C 0.000 0.167 0.000 1
# Total magnetic moment (μB/f.u.): 0.0
# Calculated density (g cm⁻³): 5.68
# DFT total energy (eV/atom): -7.116
# Raw formation energy (meV/atom): -1110

---

(11)
# Pu7Sb3H2 PBE-GGA relaxed
data_Pu7Sb3H2
_cell_length_a 6.185
_cell_length_b 3.326
_cell_length_c 12.359
_cell_angle_alpha 90.00
_cell_angle_beta 92.16
_cell_angle_gamma 90.00
_space_group_name_H-M_alt 'P 1 m 1'
_space_group_IT_number 6
_space_group_name_Hall 'P -2y'
loop_
_atom_site_label
_atom_site_type_symbol
_atom_site_fract_x
_atom_site_fract_y
_atom_site_fract_z
_atom_site_occupancy
Pu1 Pu 0.000 0.000 0.000 1
Pu2 Pu 0.050 0.500 0.384 1
Pu3 Pu 0.228 0.500 0.206 1
Pu4 Pu 0.331 0.000 0.446 1
Pu5 Pu 0.423 0.500 0.593 1
Pu6 Pu 0.689 0.500 0.268 1
Pu7 Pu 0.830 0.500 0.547 1
Sb1 Sb 0.286 0.000 0.792 1
Sb2 Sb 0.512 0.000 0.053 1
Sb3 Sb 0.758 0.000 0.765 1
H1 H 0.113 0.500 0.645 1
H2 H 0.917 0.500 0.117 1
# Total magnetic moment (μB/f.u.): 7.3
# Calculated density (g cm⁻³): 13.57
# DFT total energy (eV/atom): -9.915

---

(12)
# NaSnOs3 PBE-GGA relaxed
data_NaSnOs3
_cell_length_a 4.516
_cell_length_b 4.516
_cell_length_c 4.516
_cell_angle_alpha 90.00
_cell_angle_beta 90.00
_cell_angle_gamma 90.00
_space_group_name_H-M_alt 'P m -3 m'
_space_group_IT_number 221
_space_group_name_Hall '-P 4 2 3'
loop_
_atom_site_label
_atom_site_type_symbol
_atom_site_fract_x
_atom_site_fract_y
_atom_site_fract_z
_atom_site_occupancy
Na1 Na 0.000 0.000 0.000 1
Sn1 Sn 0.500 0.500 0.500 1
Os1 Os 0.000 0.000 0.500 1
# Total magnetic moment (μB/f.u.): 2.7
# Calculated density (g cm⁻³): 12.84
# DFT total energy (eV/atom): -5.045
# Energy of formation from the pure elements (eV/f.u.): 13.8
# Excess energy over the best structure of this formula in the dataset (eV per atom): 0.3285